Here is an optimized crystal structure of Li12Ga6Co from Alexandria. Energies are from GGA-PBE.

Structure (CIF):
```
data_Li12Ga6Co
_chemical_formula_sum 'Li12 Ga6 Co1'
_cell_length_a 6.7309
_cell_length_b 6.7309
_cell_length_c 6.7309
_cell_angle_alpha 88.01
_cell_angle_beta 88.01
_cell_angle_gamma 88.01
_space_group_name_H-M_alt 'P 1'
_space_group_IT_number 1
loop_
_space_group_symop_operation_xyz
'x,y,z'
loop_
_atom_site_label
_atom_site_type_symbol
_atom_site_fract_x
_atom_site_fract_y
_atom_site_fract_z
Li1 Li 0.0181 0.3089 0.9304
Li2 Li 0.0696 0.9819 0.6911
Li3 Li 0.1262 0.3534 0.4632
Li4 Li 0.3089 0.9304 0.0181
Li5 Li 0.3534 0.4632 0.1263
Li6 Li 0.4632 0.1263 0.3534
Li7 Li 0.5368 0.8737 0.6466
Li8 Li 0.6466 0.5368 0.8737
Li9 Li 0.6911 0.0696 0.9819
Li10 Li 0.8737 0.6466 0.5368
Li11 Li 0.9304 0.0181 0.3089
Li12 Li 0.9819 0.6911 0.0696
Ga1 Ga 0.2428 0.7535 0.3862
Ga2 Ga 0.2465 0.6138 0.7572
Ga3 Ga 0.3862 0.2428 0.7535
Ga4 Ga 0.6138 0.7572 0.2465
Ga5 Ga 0.7535 0.3862 0.2428
Ga6 Ga 0.7572 0.2465 0.6138
Co1 Co 0.5000 0.5000 0.5000
```

Calculated values
Raw total energy ... -52.9 eV/cell
Symmetry ... R-3, No. 148
Density ... 3.058 g/cm3



Here is an optimized crystal structure of Li2GaCo from Alexandria. Energies are from GGA-PBE.

Structure (CIF):
```
data_Li2GaCo
_chemical_formula_sum 'Li2 Ga1 Co1'
_cell_length_a 9.5232
_cell_length_b 9.5232
_cell_length_c 9.5232
_cell_angle_alpha 16.11
_cell_angle_beta 16.11
_cell_angle_gamma 16.11
_space_group_name_H-M_alt 'P 1'
_space_group_IT_number 1
loop_
_space_group_symop_operation_xyz
'x,y,z'
loop_
_atom_site_label
_atom_site_type_symbol
_atom_site_fract_x
_atom_site_fract_y
_atom_site_fract_z
Li1 Li 0.0844 0.0844 0.0844
Li2 Li 0.9156 0.9156 0.9156
Ga1 Ga 0.5000 0.5000 0.5000
Co1 Co 0.0000 0.0000 0.0000
```

Calculated values
Raw total energy ... -13.3 eV/cell
Symmetry ... R-3m, No. 166
Density ... 4.085 g/cm3



Here is an optimized crystal structure of Li2Ga8Co from Alexandria. Energies are from GGA-PBE.

Structure (CIF):
```
data_Li2Ga8Co
_chemical_formula_sum 'Li2 Ga8 Co1'
_cell_length_a 4.0733
_cell_length_b 4.0733
_cell_length_c 10.7863
_cell_angle_alpha 90.00
_cell_angle_beta 90.00
_cell_angle_gamma 90.00
_space_group_name_H-M_alt 'P 1'
_space_group_IT_number 1
loop_
_space_group_symop_operation_xyz
'x,y,z'
loop_
_atom_site_label
_atom_site_type_symbol
_atom_site_fract_x
_atom_site_fract_y
_atom_site_fract_z
Li1 Li 0.0000 0.0000 0.1975
Li2 Li 0.0000 0.0000 0.8025
Ga1 Ga 0.0000 0.5000 0.0000
Ga2 Ga 0.0000 0.5000 0.3756
Ga3 Ga 0.0000 0.5000 0.6244
Ga4 Ga 0.5000 0.0000 0.0000
Ga5 Ga 0.5000 0.0000 0.3756
Ga6 Ga 0.5000 0.0000 0.6244
Ga7 Ga 0.5000 0.5000 0.1908
Ga8 Ga 0.5000 0.5000 0.8092
Co1 Co 0.0000 0.0000 0.5000
```

Calculated values
Raw total energy ... -37.4 eV/cell
Symmetry ... P4/mmm, No. 123
Density ... 5.851 g/cm3



Here is an optimized crystal structure of LiGa3Co from Alexandria. Energies are from GGA-PBE.

Structure (CIF):
```
data_LiGa3Co
_chemical_formula_sum 'Li4 Ga12 Co4'
_cell_length_a 8.5441
_cell_length_b 4.0964
_cell_length_c 9.2228
_cell_angle_alpha 90.00
_cell_angle_beta 90.00
_cell_angle_gamma 90.00
_space_group_name_H-M_alt 'P 1'
_space_group_IT_number 1
loop_
_space_group_symop_operation_xyz
'x,y,z'
loop_
_atom_site_label
_atom_site_type_symbol
_atom_site_fract_x
_atom_site_fract_y
_atom_site_fract_z
Li1 Li 0.2207 0.2500 0.0303
Li2 Li 0.2793 0.7500 0.5303
Li3 Li 0.7207 0.2500 0.4697
Li4 Li 0.7793 0.7500 0.9697
Ga1 Ga 0.0309 0.2500 0.5843
Ga2 Ga 0.0821 0.7500 0.8179
Ga3 Ga 0.2073 0.7500 0.2325
Ga4 Ga 0.2927 0.2500 0.7325
Ga5 Ga 0.4179 0.2500 0.3179
Ga6 Ga 0.4691 0.7500 0.0843
Ga7 Ga 0.5309 0.2500 0.9157
Ga8 Ga 0.5821 0.7500 0.6821
Ga9 Ga 0.7073 0.7500 0.2675
Ga10 Ga 0.7927 0.2500 0.7675
Ga11 Ga 0.9179 0.2500 0.1821
Ga12 Ga 0.9691 0.7500 0.4157
Co1 Co 0.1371 0.2500 0.3396
Co2 Co 0.3629 0.7500 0.8396
Co3 Co 0.6371 0.2500 0.1604
Co4 Co 0.8629 0.7500 0.6604
```

Calculated values
Raw total energy ... -77.2 eV/cell
Symmetry ... Pnma, No. 62
Density ... 5.659 g/cm3



Here is an optimized crystal structure of LiGa4Co3 from Alexandria. Energies are from GGA-PBE.

Structure (CIF):
```
data_LiGa4Co3
_chemical_formula_sum 'Li1 Ga4 Co3'
_cell_length_a 2.8848
_cell_length_b 4.1220
_cell_length_c 8.3012
_cell_angle_alpha 90.00
_cell_angle_beta 90.00
_cell_angle_gamma 90.00
_space_group_name_H-M_alt 'P 1'
_space_group_IT_number 1
loop_
_space_group_symop_operation_xyz
'x,y,z'
loop_
_atom_site_label
_atom_site_type_symbol
_atom_site_fract_x
_atom_site_fract_y
_atom_site_fract_z
Li1 Li 0.0000 0.0000 0.0000
Ga1 Ga 0.5000 0.0000 0.2587
Ga2 Ga 0.5000 0.0000 0.7413
Ga3 Ga 0.5000 0.5000 0.0000
Ga4 Ga 0.5000 0.5000 0.5000
Co1 Co 0.0000 0.0000 0.5000
Co2 Co 0.0000 0.5000 0.2447
Co3 Co 0.0000 0.5000 0.7553
```

Calculated values
Raw total energy ... -37.4 eV/cell
Symmetry ... Pmmm, No. 47
Density ... 7.782 g/cm3



Here is an optimized crystal structure of LiGa2Co2 from Alexandria. Energies are from GGA-PBE.

Structure (CIF):
```
data_LiGa2Co2
_chemical_formula_sum 'Li2 Ga4 Co4'
_cell_length_a 6.9705
_cell_length_b 6.9705
_cell_length_c 2.6956
_cell_angle_alpha 90.00
_cell_angle_beta 90.00
_cell_angle_gamma 90.00
_space_group_name_H-M_alt 'P 1'
_space_group_IT_number 1
loop_
_space_group_symop_operation_xyz
'x,y,z'
loop_
_atom_site_label
_atom_site_type_symbol
_atom_site_fract_x
_atom_site_fract_y
_atom_site_fract_z
Li1 Li 0.0000 0.0000 0.0000
Li2 Li 0.5000 0.5000 0.0000
Ga1 Ga 0.1674 0.3326 0.5000
Ga2 Ga 0.3326 0.8326 0.5000
Ga3 Ga 0.6674 0.1674 0.5000
Ga4 Ga 0.8326 0.6674 0.5000
Co1 Co 0.1296 0.6296 0.0000
Co2 Co 0.3704 0.1296 0.0000
Co3 Co 0.6296 0.8704 0.0000
Co4 Co 0.8704 0.3704 0.0000
```

Calculated values
Raw total energy ... -46.6 eV/cell
Symmetry ... P4/mbm, No. 127
Density ... 6.701 g/cm3